Na3Li3Fe2F12 PBE+U optimized geometry; density of states at the Fermi level = 0.00 states/eV/atom; final energy = -394.76 eV for the cell shown; symmetry = Ia-3d, No. 230
1.0
-5.840 4.614 -7.940
-4.987 -9.066 3.373
0.924 6.944 8.328
Na Li F Fe
12 12 48 8
Cartesian
-1.907 2.385 6.518
-4.657 4.931 -2.410
-8.273 1.578 0.787
-2.582 2.333 -0.474
-4.088 6.694 3.168
-7.321 0.159 4.235
-6.689 3.871 3.440
-7.996 0.107 -2.757
-1.630 0.914 2.974
-5.815 -4.201 0.593
-5.246 -2.439 6.171
-3.215 -1.378 0.321
-4.863 -5.620 4.041
-5.040 8.112 -0.279
-4.614 1.272 5.377
-2.859 3.804 3.071
-5.673 4.401 0.515
-7.044 -1.311 0.690
-6.242 2.639 -5.063
-3.662 -0.146 8.824
-1.275 6.097 5.724
-4.231 -1.908 3.246
-5.289 1.220 -1.615
-8.629 -3.604 -1.963
-3.521 9.046 3.141
-0.896 3.408 8.464
-7.520 -2.852 1.655
-3.251 -2.203 4.822
-5.414 7.351 -1.957
-2.557 4.872 6.346
-6.652 4.696 -1.061
-7.346 -2.379 -2.585
-9.311 0.781 3.006
-3.688 7.228 0.680
-6.069 2.777 1.373
-3.834 -0.284 2.388
-4.838 -3.759 8.158
-4.289 2.803 6.417
-6.579 0.156 1.768
-5.615 -0.310 -2.656
-3.917 4.512 -0.145
-3.851 -3.127 1.867
-8.449 -0.570 -0.314
-6.382 -6.553 0.620
-8.210 2.521 4.751
-4.275 4.472 4.110
-7.098 0.967 -5.013
-5.628 -1.980 -0.349
-5.987 -2.019 3.906
-6.614 3.736 -3.584
-2.805 1.525 8.774
-8.935 3.356 2.289
-2.870 0.593 5.208
-5.065 6.252 -4.397
-6.215 -4.736 3.081
-4.489 -4.859 5.718
-1.454 3.062 4.075
-4.067 2.424 -2.382
-7.982 -4.799 -0.665
-1.693 -0.028 -0.990
-2.383 5.345 2.106
-6.053 5.620 1.894
-4.442 0.867 0.024
-5.836 0.068 6.143
-0.593 1.711 0.755
-3.325 2.337 1.993
-7.033 1.900 -1.447
-0.969 -0.864 1.472
-1.922 7.292 4.426
-3.289 -1.244 7.345
-9.007 -0.916 -4.703
-5.461 1.626 3.737
-5.414 -2.226 -2.283
-4.952 1.246 1.881
0.000 0.000 0.000
-2.494 -4.533 1.686
-2.032 -1.061 5.850
-2.458 5.779 0.194
-2.920 2.307 -3.970
0.462 3.472 4.164